*a*
# KHgW (PBE-GGA, relaxed)
# - Magnetization: 0.37 Bohr magnetons per cell
# - Crystal system: trigonal
data_KHgW
_symmetry_space_group_name_H-M 'P 3 m 1'
_symmetry_Int_Tables_number 156
_cell_length_a 2.9649
_cell_length_b 2.9649
_cell_length_c 8.6893
_cell_angle_alpha 90.00
_cell_angle_beta 90.00
_cell_angle_gamma 120.00
loop_
_symmetry_equiv_pos_as_xyz
'x,y,z'
'-y,x-y,z'
'-x+y,-x,z'
'-y,-x,z'
'-x+y,y,z'
'x,x-y,z'
loop_
_atom_site_label
_atom_site_type_symbol
_atom_site_fract_x
_atom_site_fract_y
_atom_site_fract_z
K1 K 0.0000 0.0000 0.0000
Hg1 Hg 0.6667 0.3333 0.6481
W1 W 0.3333 0.6667 0.3533

***

*b*
# KHgW (PBE-GGA, relaxed)
# - Magnetization: 0.47 Bohr magnetons per cell
# - Crystal system: orthorhombic
data_KHgW
_symmetry_space_group_name_H-M 'I m m 2'
_symmetry_Int_Tables_number 44
_cell_length_a 2.786
_cell_length_b 4.676
_cell_length_c 12.634
_cell_angle_alpha 90.00
_cell_angle_beta 90.00
_cell_angle_gamma 90.00
loop_
_symmetry_equiv_pos_as_xyz
'x,y,z'
'-x,-y,z'
'-x,y,z'
'x,-y,z'
'x+1/2,y+1/2,z+1/2'
'-x+1/2,-y+1/2,z+1/2'
'-x+1/2,y+1/2,z+1/2'
'x+1/2,-y+1/2,z+1/2'
loop_
_atom_site_label
_atom_site_type_symbol
_atom_site_fract_x
_atom_site_fract_y
_atom_site_fract_z
K1 K 0.000 0.000 0.000
Hg1 Hg 0.000 0.000 0.283
W1 W 0.000 0.000 0.724

***

So which one is most stable? That would be *a*, about 0.055 eV/atom below the next structure.

***

*a*
# KHgW (PBE-GGA, relaxed)
# - Magnetization: 1.05 Bohr magnetons per cell
# - Crystal system: orthorhombic
data_KHgW
_symmetry_space_group_name_H-M 'F m m 2'
_symmetry_Int_Tables_number 42
_symmetry_space_group_name_Hall 'F 2 -2'
_cell_length_a 3.301
_cell_length_b 4.684
_cell_length_c 17.244
_cell_angle_alpha 90.00
_cell_angle_beta 90.00
_cell_angle_gamma 90.00
loop_
_atom_site_label
_atom_site_type_symbol
_atom_site_fract_x
_atom_site_fract_y
_atom_site_fract_z
K1 K 0.000 0.000 0.000
Hg1 Hg 0.000 0.000 0.323
W1 W 0.000 0.000 0.676

***

*b*
# KHgW (PBE-GGA, relaxed)
# - Magnetization: 20.27 Bohr magnetons per cell
# - Crystal system: cubic
data_KHgW
_symmetry_space_group_name_H-M 'F -4 3 m'
_symmetry_Int_Tables_number 216
_symmetry_space_group_name_Hall 'F -4 2 3'
_cell_length_a 7.815
_cell_length_b 7.815
_cell_length_c 7.815
_cell_angle_alpha 90.00
_cell_angle_beta 90.00
_cell_angle_gamma 90.00
loop_
_atom_site_label
_atom_site_type_symbol
_atom_site_fract_x
_atom_site_fract_y
_atom_site_fract_z
K1 K 0.000 0.000 0.000
Hg1 Hg 0.250 0.250 0.750
W1 W 0.250 0.250 0.250

***

So which one is most stable? That would be *a*, about 1.067 eV/atom below the next structure.